VASP calculation (PBE) on Pr2ThIr after structural relaxation.

Unit cell a=7.257 b=10.122 c=6.656 alpha=90.00 beta=90.00 gamma=90.00
Space group Pnma (No. 62)
Symmetry-distinct sites (fractional):
Pr  0.177  0.065  0.169
Th  0.042  0.250  0.666
Ir  0.130  0.750  0.961

Output
For the total magnetic moment, the calculation gives 0.000 Bohr magnetons per cell. The calculation puts the density of states at the Fermi level at 4.55 states/eV/f.u. For the energy above the most stable polymorph in this dataset, the calculation gives 0.00 kcal/mol of atoms. The value obtained for the calculated volume is 30.6 Å³ per atom. As for the formation energy from the elements: -460.3 meV/atom.


VASP calculation (PBE) on PrThIr2 after structural relaxation.

Unit cell a=4.1270 b=4.1270 c=20.5044 alpha=90.00 beta=90.00 gamma=120.00
Space group R-3m (No. 166, hexagonal axes)
Symmetry-distinct sites (fractional):
Pr  0.0000  0.0000  0.0000
Th  0.0000  0.0000  0.5000
Ir  0.0000  0.0000  0.2461

Output
For the total magnetic moment, the calculation gives 0.000 Bohr magnetons per cell. The calculation puts the density of states at the Fermi level at 2.03 states/eV/f.u. For the energy above the most stable polymorph in this dataset, the calculation gives 2.76 kcal/mol of atoms. The value obtained for the calculated volume is 25.2 Å³ per atom. As for the formation energy from the elements: -676.5 meV/atom.


VASP calculation (PBE) on PrThIr2 after structural relaxation.

Unit cell a=3.947 b=4.300 c=5.901 alpha=90.00 beta=109.62 gamma=90.00
Space group Pm (No. 6)
Symmetry-distinct sites (fractional):
Pr  0.000  0.000  0.000
Th  0.278  0.500  0.554
Ir  0.552  0.500  0.104
Ir  0.732  0.000  0.464

Output
For the total magnetic moment, the calculation gives 0.000 Bohr magnetons per cell. The calculation puts the density of states at the Fermi level at 2.13 states/eV/f.u. For the energy above the most stable polymorph in this dataset, the calculation gives 0.00 kcal/mol of atoms. The value obtained for the calculated volume is 23.6 Å³ per atom. As for the formation energy from the elements: -796.3 meV/atom.


VASP calculation (PBE) on Pr2Th3Ir2 after structural relaxation.

Unit cell a=12.606 b=3.972 c=9.043 alpha=90.00 beta=116.86 gamma=90.00
Space group C2/m (No. 12)
Symmetry-distinct sites (fractional):
Pr  0.158  0.000  0.309
Th  0.000  0.500  0.500
Th  0.121  0.500  0.953
Ir  0.144  0.000  0.743

Output
For the total magnetic moment, the calculation gives 0.000 Bohr magnetons per cell. The calculation puts the density of states at the Fermi level at 6.55 states/eV/f.u. The value obtained for the calculated volume is 28.8 Å³ per atom. As for the formation energy from the elements: -559.7 meV/atom.


VASP calculation (PBE) on PrThIr2 after structural relaxation.

Unit cell a=7.145 b=7.145 c=7.145 alpha=90.00 beta=90.00 gamma=90.00
Space group Fm-3m (No. 225)
Symmetry-distinct sites (fractional):
Pr  0.000  0.000  0.000
Th  0.000  0.000  0.500
Ir  0.250  0.250  0.250

Output
For the total magnetic moment, the calculation gives 0.000 Bohr magnetons per cell. The calculation puts the density of states at the Fermi level at 2.35 states/eV/f.u. For the energy above the most stable polymorph in this dataset, the calculation gives 3.58 kcal/mol of atoms. The value obtained for the calculated volume is 22.8 Å³ per atom. As for the formation energy from the elements: -641.2 meV/atom.


VASP calculation (PBE) on PrTh2Ir after structural relaxation.

Unit cell a=3.9240 b=3.9240 c=31.1033 alpha=90.00 beta=90.00 gamma=120.00
Space group R-3m (No. 166, hexagonal axes)
Symmetry-distinct sites (fractional):
Pr  0.0000  0.0000  0.0000
Th  0.0000  0.0000  0.1123
Ir  0.0000  0.0000  0.5000

Output
For the total magnetic moment, the calculation gives 1.063 Bohr magnetons per cell. The calculation puts the density of states at the Fermi level at 5.61 states/eV/f.u. For the energy above the most stable polymorph in this dataset, the calculation gives 7.20 kcal/mol of atoms. The value obtained for the calculated volume is 34.6 Å³ per atom. As for the formation energy from the elements: -171.1 meV/atom.


VASP calculation (PBE) on Pr3ThIr8 after structural relaxation.

Unit cell a=5.4593 b=5.4593 c=26.7170 alpha=90.00 beta=90.00 gamma=120.00
Space group R3m (No. 160, hexagonal axes)
Symmetry-distinct sites (fractional):
Pr  0.0000  0.0000  0.0000
Pr  0.0000  0.0000  0.1241
Pr  0.0000  0.0000  0.4970
Th  0.0000  0.0000  0.6230
Ir  0.0000  0.0000  0.3111
Ir  0.0000  0.0000  0.8110
Ir  0.0019  0.5010  0.5617
Ir  0.1674  0.3349  0.3937

Output
For the total magnetic moment, the calculation gives 0.000 Bohr magnetons per cell. The calculation puts the density of states at the Fermi level at 4.96 states/eV/f.u. The value obtained for the calculated volume is 19.2 Å³ per atom. As for the formation energy from the elements: -707.4 meV/atom.


VASP calculation (PBE) on PrThIr2 after structural relaxation.

Unit cell a=3.585 b=3.585 c=7.195 alpha=90.00 beta=90.00 gamma=90.00
Space group P4/mmm (No. 123)
Symmetry-distinct sites (fractional):
Pr  0.000  0.000  0.000
Th  0.000  0.000  0.500
Ir  0.500  0.500  0.274

Output
For the total magnetic moment, the calculation gives 0.000 Bohr magnetons per cell. The calculation puts the density of states at the Fermi level at 1.41 states/eV/f.u. For the energy above the most stable polymorph in this dataset, the calculation gives 2.67 kcal/mol of atoms. The value obtained for the calculated volume is 23.1 Å³ per atom. As for the formation energy from the elements: -680.6 meV/atom.


VASP calculation (PBE) on PrTh2Ir after structural relaxation.

Unit cell a=4.0225 b=4.0225 c=27.5472 alpha=90.00 beta=90.00 gamma=120.00
Space group R3m (No. 160, hexagonal axes)
Symmetry-distinct sites (fractional):
Pr  0.0000  0.0000  0.0000
Th  0.0000  0.0000  0.5602
Th  0.0000  0.0000  0.7731
Ir  0.0000  0.0000  0.1659

Output
For the total magnetic moment, the calculation gives 0.000 Bohr magnetons per cell. The calculation puts the density of states at the Fermi level at 4.60 states/eV/f.u. For the energy above the most stable polymorph in this dataset, the calculation gives 2.22 kcal/mol of atoms. The value obtained for the calculated volume is 32.2 Å³ per atom. As for the formation energy from the elements: -387.1 meV/atom.


VASP calculation (PBE) on PrThIr2 after structural relaxation.

Unit cell a=5.866 b=5.868 c=13.079 alpha=90.00 beta=116.62 gamma=90.00
Space group P2/c (No. 13)
Symmetry-distinct sites (fractional):
Pr  0.128  0.248  0.127
Th  0.373  0.260  0.873
Ir  0.132  0.252  0.632
Ir  0.383  0.242  0.385

Output
For the total magnetic moment, the calculation gives 0.000 Bohr magnetons per cell. The calculation puts the density of states at the Fermi level at 2.13 states/eV/f.u. For the energy above the most stable polymorph in this dataset, the calculation gives 2.97 kcal/mol of atoms. The value obtained for the calculated volume is 25.2 Å³ per atom. As for the formation energy from the elements: -667.3 meV/atom.


VASP calculation (PBE) on Pr2ThIr after structural relaxation.

Unit cell a=3.7511 b=3.7511 c=32.6202 alpha=90.00 beta=90.00 gamma=120.00
Space group R-3m (No. 166, hexagonal axes)
Symmetry-distinct sites (fractional):
Pr  0.0000  0.0000  0.1103
Th  0.0000  0.0000  0.0000
Ir  0.0000  0.0000  0.5000

Output
For the total magnetic moment, the calculation gives 0.000 Bohr magnetons per cell. The calculation puts the density of states at the Fermi level at 5.37 states/eV/f.u. For the energy above the most stable polymorph in this dataset, the calculation gives 11.93 kcal/mol of atoms. The value obtained for the calculated volume is 33.1 Å³ per atom. As for the formation energy from the elements: 56.9 meV/atom.


VASP calculation (PBE) on PrThIr4 after structural relaxation.

Unit cell a=7.716 b=7.716 c=7.716 alpha=90.00 beta=90.00 gamma=90.00
Space group F-43m (No. 216)
Symmetry-distinct sites (fractional):
Pr  0.000  0.000  0.000
Th  0.250  0.250  0.750
Ir  0.125  0.125  0.375

Output
For the total magnetic moment, the calculation gives 0.000 Bohr magnetons per cell. The calculation puts the density of states at the Fermi level at 3.60 states/eV/f.u. The value obtained for the calculated volume is 19.1 Å³ per atom. As for the formation energy from the elements: -741.6 meV/atom.